K2ReRu | PBE | relaxed

Summary:
- E_form: 40.65 kcal/mol of atoms
- Total magnetic moment: 0.0 μB per cell
- Total energy: -4.217 eV/atom
- Crystal system: cubic

abc: 4.893 4.893 4.893
angles: 120.00 120.00 90.00
Element x y z (fractional)
K: 0.000 0.000 0.000
K: 0.250 0.750 0.500
Re: 0.500 0.500 0.000
Ru: 0.750 0.250 0.500